No. 1
Compound: GdGaAgAu
Source: Alexandria
Functional: PBE
Structure: relaxed

Final energy (eV per formula unit): -25.1
Energy relative to the elements (meV per atom): -472
Crystal system: cubic
Space group: F-43m
Total moment (μB per cell): 7.17

Structure (POSCAR):
```
GdGaAgAu
1.0
4.880 0.000 0.000
2.440 4.226 0.000
2.440 1.409 3.985
Gd Au Ga Ag
1 1 1 1
Direct
0.000 0.000 0.000
0.750 0.750 0.750
0.500 0.500 0.500
0.250 0.250 0.250
```

No. 2
Compound: HoGaAgAu
Source: Alexandria
Functional: PBE
Structure: relaxed

Final energy (eV per formula unit): -15.7
Energy relative to the elements (meV per atom): -497
Crystal system: cubic
Space group: F-43m
Total moment (μB per cell): 0.00

Structure (POSCAR):
```
HoGaAgAu
1.0
4.819 0.000 0.000
2.409 4.173 0.000
2.409 1.391 3.935
Ga Au Ho Ag
1 1 1 1
Direct
0.250 0.250 0.250
0.500 0.500 0.500
0.750 0.750 0.750
0.000 0.000 0.000
```

No. 3
Compound: HoGa2AgAu2
Source: Alexandria
Functional: PBE
Structure: relaxed

Final energy (eV per formula unit): -23.0
Energy relative to the elements (meV per atom): -496
Crystal system: trigonal
Space group: P-3m1
Total moment (μB per cell): 0.00

Structure (POSCAR):
```
HoGa2AgAu2
1.0
-1.995 0.873 -3.970
4.402 -1.052 0.139
-1.488 -6.313 -0.640
Ho Ga Ag Au
1 2 1 2
Direct
0.000 0.000 0.000
0.667 0.333 0.721
0.333 0.667 0.279
0.000 0.000 0.500
0.667 0.333 0.260
0.333 0.667 0.740
```

No. 4
Compound: Ho2Ga4AgAu3
Source: Alexandria
Functional: PBE
Structure: relaxed

Final energy (eV per formula unit): -39.2
Energy relative to the elements (meV per atom): -527
Crystal system: tetragonal
Space group: P-4m2
Total moment (μB per cell): 0.00

Structure (POSCAR):
```
Ho2Ga4AgAu3
1.0
4.232 0.000 0.000
0.000 4.232 0.000
0.000 0.000 11.138
Ho Ga Ag Au
2 4 1 3
Direct
0.500 0.000 0.252
0.000 0.500 0.748
0.500 0.500 0.000
0.000 0.000 0.000
0.500 0.000 0.638
0.000 0.500 0.362
0.500 0.500 0.500
0.000 0.000 0.500
0.500 0.000 0.860
0.000 0.500 0.140
```

No. 5
Compound: InGaAgAu
Source: Alexandria
Functional: PBE
Structure: relaxed

Final energy (eV per formula unit): -11.9
Energy relative to the elements (meV per atom): -3
Crystal system: cubic
Space group: F-43m
Total moment (μB per cell): 0.00

Structure (POSCAR):
```
InGaAgAu
1.0
4.822 0.000 0.000
2.411 4.176 0.000
2.411 1.392 3.937
Au Ga Ag In
1 1 1 1
Direct
0.000 0.000 0.000
0.250 0.250 0.250
0.500 0.500 0.500
0.750 0.750 0.750
```

No. 6
Compound: GaAg2IrAu
Source: Alexandria
Functional: PBE
Structure: relaxed

Final energy (eV per formula unit): -14.8
Energy relative to the elements (meV per atom): 1214
Crystal system: tetragonal
Space group: P4/mmm
Total moment (μB per cell): 0.96

Structure (POSCAR):
```
GaAg2IrAu
1.0
5.070 0.000 0.000
0.000 4.697 0.000
0.000 0.000 5.070
Ir Au Ga Ag
1 1 1 2
Direct
0.500 0.500 0.500
0.000 0.000 0.000
0.000 0.500 0.000
0.000 0.000 0.500
0.500 0.000 0.000
```

No. 7
Compound: K2Ga3AgAu4
Source: Alexandria
Functional: PBE
Structure: relaxed

Final energy (eV per formula unit): -29.9
Energy relative to the elements (meV per atom): -264
Crystal system: tetragonal
Space group: P-4m2
Total moment (μB per cell): 0.00

Structure (POSCAR):
```
K2Ga3AgAu4
1.0
4.661 0.000 0.000
0.000 4.661 0.000
0.000 0.000 10.756
K Ga Ag Au
2 3 1 4
Direct
0.500 0.000 0.251
0.000 0.500 0.749
0.000 0.000 0.500
0.500 0.000 0.882
0.000 0.500 0.118
0.500 0.500 0.500
0.500 0.500 0.000
0.000 0.000 0.000
0.500 0.000 0.641
0.000 0.500 0.359
```

No. 8
Compound: KGaAgAu3
Source: Alexandria
Functional: PBE
Structure: relaxed

Final energy (eV per formula unit): -17.5
Energy relative to the elements (meV per atom): -121
Crystal system: orthorhombic
Space group: Cmcm
Total moment (μB per cell): 0.00

Structure (POSCAR):
```
KGaAgAu3
1.0
-2.440 -3.622 4.979
4.295 -5.665 -2.016
2.387 4.935 4.759
K Ga Ag Au
2 2 2 6
Direct
0.750 0.281 0.562
0.250 0.719 0.438
0.250 0.398 0.796
0.750 0.602 0.204
0.250 0.981 0.962
0.750 0.019 0.038
0.250 0.200 0.399
0.000 0.295 0.000
0.500 0.705 0.000
0.500 0.295 0.000
0.000 0.705 0.000
0.750 0.800 0.601
```

> What is the total moment in the fourth record?

0.00 μB per cell